CaCo3P2: optimized geometry, PBE.

It has space group C2/m (No. 12), with a = 14.185 Å, b = 3.684 Å, c = 6.910 Å, α = 90.00°, β = 114.25° and γ = 90.00°. The inequivalent atoms are Ca at (0.154, 0.000, 0.065), Co at (0.041, 0.000, 0.364), Co at (0.094, 0.500, 0.666), Co at (0.182, 0.500, 0.429), P at (0.019, 0.500, 0.187) and P at (0.183, 0.000, 0.654).

The calculation puts the energy of formation from the pure elements at -695 meV per atom. As for the distance to the lowest polymorph of the same formula: 0.028 eV per atom.